## PaBiRh (PBE-GGA)

Data for an optimized crystal structure of PaBiRh.

D(E_F)	0.55	states/eV/atom

Cell lengths 3.4715, 3.4715, 11.8184 Å; angles 90.00, 90.00, 90.00 degrees
Last column: nearest neighbours and their distance in Å.
Space group I4mm (No. 107)
Asymmetric unit:
Pa1 0.0000 0.0000 0.0000 x2  4 Rh 2.81
Bi1 0.0000 0.0000 0.7120 x2  4 Rh 3.19, 5 Pa 3.40-3.51, 4 Bi 3.47
Rh1 0.0000 0.0000 0.3847 x2  4 Pa 2.81

***

## La2Pm2Ho3 (PBE-GGA)

Data for an optimized crystal structure of La2Pm2Ho3.

D(E_F)	1.77	states/eV/atom
energy relative to the lowest polymorph listed for this composition	0.000	eV per atom

Cell lengths 17.1770, 3.5135, 8.8499 Å; angles 90.00, 116.89, 90.00 degrees
Last column: nearest neighbours and their distance in Å.
Space group C2/m (No. 12)
Asymmetric unit:
La1 0.0810 0.0000 0.2073 x4  4 Ho 3.45-3.54, 3 La 3.46-3.51, 2 Pm 3.71
Pm1 0.1406 0.5000 0.9056 x4  4 Pm 3.51-3.79, 5 Ho 3.61-3.74, 4 La 3.71-3.89
Ho1 0.0000 0.0000 0.5000 x2  4 Ho 3.39-3.51, 2 La 3.45, 4 Pm 3.74
Ho2 0.2193 0.0000 0.6439 x4  5 Ho 3.39-3.62, 3 La 3.50-3.54, 3 Pm 3.61-3.62

***

These records have formation energy values of -0.42 0.13 eV per atom, in the order they appear.
These records have total energy values of -7.33 -4.60 eV/atom, in the order they appear.